A crystal of CaRe2Sb relaxed with PBEsol. Source: the Alexandria database, functional meta-GGA SCAN.

Values from the calculation:
* formation energy (no corrections): 1.04 eV per atom
* energy: -46.236 eV/atom
* SG: Cmmm

Cell lengths 2.9873, 2.9873, 9.0613 Å; angles 90.00, 90.00, 112.99 degrees
With the nearest neighbours (Å) after each atom.
Fractional coordinates of all 4 atoms:
Sb 0.5000 0.5000 0.5000  4 Re 2.64
Re 0.0000 0.0000 0.2721  2 Sb 2.64
Ca 0.5000 0.5000 0.0000  4 Re 2.97, 6 Ca 2.99-3.30
Re 0.0000 0.0000 0.7279  2 Sb 2.64